! PBE+U Cs3Pu2MnO9, relaxed; values from VASP
&SYSTEM
  ibrav = 0, nat = 15, ntyp = 4
/
ATOMIC_SPECIES
O 16.00 O.upf
Cs 132.91 Cs.upf
Pu 244.00 Pu.upf
Mn 54.94 Mn.upf
CELL_PARAMETERS angstrom
-0.324 5.747 -2.190
-4.957 -3.651 -0.186
-2.088 2.486 6.832
ATOMIC_POSITIONS crystal
O 0.500 0.000 0.000
O 0.000 0.500 0.000
O 0.500 0.500 0.000
Cs 0.333 0.667 0.659
Pu 0.333 0.667 0.166
O 0.179 0.358 0.317
O 0.821 0.642 0.683
O 0.642 0.821 0.317
O 0.179 0.821 0.317
O 0.821 0.179 0.683
Pu 0.667 0.333 0.834
Cs 0.667 0.333 0.341
Cs 0.000 0.000 0.000
O 0.358 0.179 0.683
Mn 0.000 0.000 0.500
! Electronic total energy ... -114.60 eV for the cell shown
! Magnetization ... 0.533 μB per atom
! Space-group type ... P-3m1 (164)

! PBE+U CsRbMnO4, relaxed; values from VASP
&SYSTEM
  ibrav = 0, nat = 7, ntyp = 4
/
ATOMIC_SPECIES
Mn 54.94 Mn.upf
O 16.00 O.upf
Rb 85.47 Rb.upf
Cs 132.91 Cs.upf
CELL_PARAMETERS angstrom
6.973 0.000 0.000
3.486 6.038 0.000
3.486 2.013 5.693
ATOMIC_POSITIONS crystal
Mn 0.250 0.250 0.250
O 0.957 0.348 0.348
Rb 0.500 0.500 0.500
O 0.348 0.957 0.348
O 0.348 0.348 0.957
Cs 0.750 0.750 0.750
O 0.348 0.348 0.348
! Electronic total energy ... -36.95 eV for the cell shown
! Magnetization ... 0.143 μB per atom
! Space-group type ... F-43m (216)

! PBE+U Cs2RbMnO4, relaxed; values from VASP
&SYSTEM
  ibrav = 0, nat = 16, ntyp = 4
/
ATOMIC_SPECIES
Cs 132.91 Cs.upf
O 16.00 O.upf
Mn 54.94 Mn.upf
Rb 85.47 Rb.upf
CELL_PARAMETERS angstrom
-6.072 1.757 1.202
-2.128 -3.817 -5.172
-0.889 -6.711 5.318
ATOMIC_POSITIONS crystal
Cs 0.000 0.768 0.744
O 0.000 0.335 0.833
O 0.500 0.665 0.333
Cs 0.500 0.232 0.756
Mn 0.000 0.196 0.000
Cs 0.000 0.768 0.256
O 0.000 0.335 0.167
Rb 0.500 0.742 0.000
Mn 0.500 0.804 0.500
O 0.285 0.959 0.500
Cs 0.500 0.232 0.244
Rb 0.000 0.258 0.500
O 0.215 0.041 0.000
O 0.500 0.665 0.667
O 0.715 0.959 0.500
O 0.785 0.041 0.000
! Electronic total energy ... -82.85 eV for the cell shown
! Magnetization ... 0.250 μB per atom
! Space-group type ... Pmmn (59)

! PBE+U Cs2MnReO, relaxed; values from VASP
&SYSTEM
  ibrav = 0, nat = 5, ntyp = 4
/
ATOMIC_SPECIES
Mn 54.94 Mn.upf
Re 186.21 Re.upf
Cs 132.91 Cs.upf
O 16.00 O.upf
CELL_PARAMETERS angstrom
-4.642 4.165 0.165
-2.225 -2.619 3.516
3.066 3.245 4.358
ATOMIC_POSITIONS crystal
Mn 0.000 0.500 0.000
Re 0.000 0.000 0.000
Cs 0.000 0.000 0.500
O 0.500 0.500 0.500
Cs 0.500 0.000 0.000
! Electronic total energy ... -19.57 eV for the cell shown
! Magnetization ... 0.731 μB per atom
! Space-group type ... P4/mmm (123)

! PBE+U CsMnRe2O8, relaxed; values from VASP
&SYSTEM
  ibrav = 0, nat = 12, ntyp = 4
/
ATOMIC_SPECIES
O 16.00 O.upf
Mn 54.94 Mn.upf
Re 186.21 Re.upf
Cs 132.91 Cs.upf
CELL_PARAMETERS angstrom
-3.479 4.791 0.034
-3.444 1.191 -4.667
-8.767 -2.722 2.020
ATOMIC_POSITIONS crystal
O 0.379 0.379 0.356
O 0.113 0.621 0.644
O 0.621 0.113 0.644
Mn 0.500 0.500 0.500
O 0.887 0.379 0.356
Re 0.763 0.763 0.710
O 0.621 0.621 0.644
O 0.696 0.696 0.912
Cs 0.000 0.000 0.000
Re 0.237 0.237 0.290
O 0.379 0.887 0.356
O 0.304 0.304 0.088
! Electronic total energy ... -93.08 eV for the cell shown
! Magnetization ... 0.331 μB per atom
! Space-group type ... R-3m (166)

! PBE+U Cs2MnRhO4, relaxed; values from VASP
&SYSTEM
  ibrav = 0, nat = 16, ntyp = 4
/
ATOMIC_SPECIES
O 16.00 O.upf
Cs 132.91 Cs.upf
Mn 54.94 Mn.upf
Rh 102.91 Rh.upf
CELL_PARAMETERS angstrom
5.733 0.000 0.000
2.866 7.024 0.000
2.866 0.000 10.660
ATOMIC_POSITIONS crystal
O 0.893 0.687 0.510
O 0.420 0.687 0.490
Cs 0.923 0.500 0.154
O 0.857 0.813 0.990
O 0.660 0.187 0.010
Mn 0.750 0.500 0.500
O 0.153 0.187 0.990
Mn 0.000 0.000 0.000
O 0.597 0.313 0.510
O 0.330 0.813 0.010
Cs 0.577 0.500 0.846
Cs 0.827 0.000 0.346
Cs 0.173 0.000 0.654
O 0.090 0.313 0.490
Rh 0.500 0.000 0.000
Rh 0.250 0.500 0.500
! Electronic total energy ... -90.65 eV for the cell shown
! Magnetization ... 0.750 μB per atom
! Space-group type ... Fddd (70)

! PBE+U CsMnRu2O8, relaxed; values from VASP
&SYSTEM
  ibrav = 0, nat = 12, ntyp = 4
/
ATOMIC_SPECIES
Cs 132.91 Cs.upf
O 16.00 O.upf
Mn 54.94 Mn.upf
Ru 101.07 Ru.upf
CELL_PARAMETERS angstrom
-4.295 1.770 2.813
-0.738 -2.506 4.762
4.487 5.888 4.732
ATOMIC_POSITIONS crystal
Cs 0.000 0.000 0.500
O 0.734 0.233 0.826
Mn 0.000 0.000 0.000
O 0.767 0.266 0.174
O 0.681 0.681 0.381
O 0.228 0.228 0.951
Ru 0.378 0.378 0.803
O 0.319 0.319 0.619
O 0.772 0.772 0.049
Ru 0.622 0.622 0.197
O 0.266 0.767 0.174
O 0.233 0.734 0.826
! Electronic total energy ... -79.77 eV for the cell shown
! Magnetization ... 0.165 μB per atom
! Space-group type ... C2/m (12)

! PBE+U Cs2MnRuO6, relaxed; values from VASP
&SYSTEM
  ibrav = 0, nat = 10, ntyp = 4
/
ATOMIC_SPECIES
O 16.00 O.upf
Cs 132.91 Cs.upf
Ru 101.07 Ru.upf
Mn 54.94 Mn.upf
CELL_PARAMETERS angstrom
5.061 0.000 0.000
0.000 6.503 0.000
0.000 -3.251 5.632
ATOMIC_POSITIONS crystal
O 0.251 0.868 0.737
O 0.251 0.263 0.132
O 0.749 0.737 0.868
Cs 0.741 0.667 0.333
O 0.749 0.132 0.263
Ru 0.000 0.000 0.000
Mn 0.500 0.000 0.000
O 0.251 0.868 0.132
Cs 0.259 0.333 0.667
O 0.749 0.132 0.868
! Electronic total energy ... -60.49 eV for the cell shown
! Magnetization ... 0.101 μB per atom
! Space-group type ... P-3m1 (164)

Question: Which formula does entry 3 have?
Answer: Cs2RbMnO4

Question: What is the formula in the sixth record?
Answer: Cs2MnRhO4

Copy entry 4 word for word.
! PBE+U Cs2MnReO, relaxed; values from VASP
&SYSTEM
  ibrav = 0, nat = 5, ntyp = 4
/
ATOMIC_SPECIES
Mn 54.94 Mn.upf
Re 186.21 Re.upf
Cs 132.91 Cs.upf
O 16.00 O.upf
CELL_PARAMETERS angstrom
-4.642 4.165 0.165
-2.225 -2.619 3.516
3.066 3.245 4.358
ATOMIC_POSITIONS crystal
Mn 0.000 0.500 0.000
Re 0.000 0.000 0.000
Cs 0.000 0.000 0.500
O 0.500 0.500 0.500
Cs 0.500 0.000 0.000
! Electronic total energy ... -19.57 eV for the cell shown
! Magnetization ... 0.731 μB per atom
! Space-group type ... P4/mmm (123)

Question: What is the magnetization in the seventh record?
Answer: 0.165 μB per atom